Record 1
Below is an optimized crystal structure of SiOs2Ru, with properties calculated at the PBE level.

Unit cell a=2.755 b=2.755 c=8.506 alpha=90.00 beta=90.00 gamma=118.25
Fractional positions:
Os: 0.000 0.000 0.979
Os: 0.000 0.000 0.521
Ru: 0.500 0.500 0.250
Si: 0.500 0.500 0.750

Properties
Energy relative to the elements, uncorrected: 0.397 eV/atom
Space group: No. 65

Record 2
Below is an optimized crystal structure of Si2OsRu, with properties calculated at the PBE level.

Unit cell a=4.171 b=4.171 c=4.171 alpha=60.00 beta=60.00 gamma=60.00
Fractional positions:
Ru: 0.750 0.750 0.750
Si: 0.000 0.000 0.000
Si: 0.500 0.500 0.500
Os: 0.250 0.250 0.250

Properties
Energy relative to the elements, uncorrected: -0.494 eV/atom
Space group: No. 225

> What is the energy relative to the elements, uncorrected in the second record?

-0.494 eV/atom